Computed, not measured: crystalline CsNbCl3 at its relaxed geometry at the PBE level of DFT.

The value obtained for the raw total energy is -4.279 eV per atom.

abc: 8.5423 8.5423 18.4940
angles: 90.00 90.00 120.00
Closest atoms and distances in Å follow each position.
Space group R-3c (No. 167, hexagonal axes)
Asymmetric unit:
1 Cs 0.0000 0.0000 0.0000 [6 per cell]  6 Cl 3.46
2 Nb 0.0000 0.0000 0.2500 [6 per cell]  3 Cl 2.39
3 Cl 0.0000 0.2796 0.2500 [18 per cell]  1 Nb 2.39

Computed, not measured: crystalline CsNbCl3 at its relaxed geometry at the PBE level of DFT.

The value obtained for the raw total energy is -4.492 eV per atom.

abc: 7.4278 7.4278 17.6903
angles: 90.00 90.00 120.00
Closest atoms and distances in Å follow each position.
Space group R-3c (No. 167, hexagonal axes)
Asymmetric unit:
1 Cs 0.0000 0.0000 0.2500 [6 per cell]  9 Cl 3.40-3.66
2 Nb 0.0000 0.0000 0.0000 [6 per cell]  6 Cl 2.62
3 Cl 0.0000 0.4580 0.2500 [18 per cell]  2 Nb 2.62

Computed, not measured: crystalline CsNbCl3 at its relaxed geometry at the PBE level of DFT.

The value obtained for the raw total energy is -4.473 eV per atom.

abc: 7.0892 7.0892 22.4601
angles: 90.00 90.00 120.00
Closest atoms and distances in Å follow each position.
Space group R-3 (No. 148, hexagonal axes)
Asymmetric unit:
1 Cs 0.0000 0.0000 0.1478 [6 per cell]  6 Cl 3.31-3.53
2 Nb 0.0000 0.0000 0.3340 [6 per cell]  6 Cl 2.62-2.63
3 Cl 0.0015 0.3822 0.9371 [18 per cell]  2 Nb 2.62-2.63

Computed, not measured: crystalline CsNbCl3 at its relaxed geometry at the PBE level of DFT.

The value obtained for the raw total energy is -4.056 eV per atom.

abc: 4.6697 4.6697 8.1578
angles: 90.00 90.00 90.00
Closest atoms and distances in Å follow each position.
Space group P4mm (No. 99)
Asymmetric unit:
1 Cs 0.0000 0.0000 0.0000 [1 per cell]  5 Cl 3.10-3.37
2 Nb 0.5000 0.5000 0.4209 [1 per cell]  4 Cl 2.54
3 Cl 0.0000 0.0000 0.6195 [1 per cell]  1 Cs 3.10
4 Cl 0.0000 0.5000 0.2972 [2 per cell]  2 Nb 2.54

Computed, not measured: crystalline CsNbCl3 at its relaxed geometry at the PBE level of DFT.

The value obtained for the raw total energy is -4.485 eV per atom.

abc: 5.2151 5.2151 5.2151
angles: 90.00 90.00 90.00
Closest atoms and distances in Å follow each position.
Space group Pm-3m (No. 221)
Asymmetric unit:
1 Cs 0.0000 0.0000 0.0000 [1 per cell]  12 Cl 3.69
2 Nb 0.5000 0.5000 0.5000 [1 per cell]  6 Cl 2.61
3 Cl 0.0000 0.5000 0.5000 [3 per cell]  2 Nb 2.61

Computed, not measured: crystalline Cs2NbNiCl6 at its relaxed geometry at the PBE level of DFT.

The value obtained for the raw total energy is -4.073 eV per atom.

abc: 10.1275 10.1275 10.1275
angles: 90.00 90.00 90.00
Closest atoms and distances in Å follow each position.
Space group Fm-3m (No. 225)
Asymmetric unit:
1 Cs 0.2500 0.2500 0.2500 [8 per cell]  12 Cl 3.58
2 Nb 0.0000 0.0000 0.0000 [4 per cell]  6 Cl 2.53
3 Ni 0.0000 0.0000 0.5000 [4 per cell]  6 Cl 2.53
4 Cl 0.0000 0.0000 0.2500 [24 per cell]  1 Ni 2.53, 1 Nb 2.53